Material: NbGaFeO2
Method: DFT, PBE+U
State: optimized geometry

abc: 3.796 3.796 5.225
angles: 90.00 90.00 90.00
Fractional coordinates of all 5 atoms:
Nb 0.000 0.000 0.000
Ga 0.500 0.500 0.000
Fe 0.000 0.000 0.500
O 0.000 0.500 0.500
O 0.500 0.000 0.500

Properties
The space group is P4/mmm (123). The uncorrected energy comes out at -28.49 eV/cell.